[1]
# TiMnRh3

A relaxed structure of TiMnRh3 (GGA-PBE, the Alexandria database). Values from VASP.

Output
- ΔH_f (0 K): 1.006 eV/atom
- Energy above the most stable polymorph in this dataset: 447 kJ/mol of formula units
- V: 18.08 A^3/atom
- Fermi-level density of states: 0.772 states/eV per atom

```
&SYSTEM
  ibrav = 0, nat = 5, ntyp = 3
/
ATOMIC_SPECIES
Ti 47.87 Ti.upf
Mn 54.94 Mn.upf
Rh 102.91 Rh.upf
CELL_PARAMETERS angstrom
4.488 0.000 0.000
0.000 4.488 0.000
0.000 0.000 4.488
ATOMIC_POSITIONS crystal
Ti 0.000 0.000 0.000
Mn 0.500 0.500 0.500
Rh 0.000 0.000 0.500
Rh 0.000 0.500 0.000
Rh 0.500 0.000 0.000
```


[2]
# KGa8Sn2

A relaxed structure of KGa8Sn2 (GGA-PBE, the Alexandria database). Values from VASP.

Output
- ΔH_f (0 K): 0.064 eV/atom
- Energy above the most stable polymorph in this dataset: 0 kJ/mol of formula units
- V: 27.07 A^3/atom
- Fermi-level density of states: 0.533 states/eV per atom

```
&SYSTEM
  ibrav = 0, nat = 11, ntyp = 3
/
ATOMIC_SPECIES
K 39.10 K.upf
Ga 69.72 Ga.upf
Sn 118.71 Sn.upf
CELL_PARAMETERS angstrom
5.357 0.000 0.000
0.000 5.357 0.000
0.000 0.000 10.377
ATOMIC_POSITIONS crystal
K 0.000 0.000 0.000
Ga 0.000 0.500 0.239
Ga 0.000 0.500 0.500
Ga 0.000 0.500 0.761
Ga 0.500 0.000 0.239
Ga 0.500 0.000 0.500
Ga 0.500 0.000 0.761
Ga 0.500 0.500 0.361
Ga 0.500 0.500 0.639
Sn 0.000 0.000 0.352
Sn 0.000 0.000 0.648
```


[3]
# LiY2Se

A relaxed structure of LiY2Se (GGA-PBE, the Alexandria database). Values from VASP.

Output
- Formation energy from raw total energies: 17 meV/atom
- V: 24.54 A^3/atom
- Fermi-level density of states: 1.444 states/eV per atom

```
&SYSTEM
  ibrav = 0, nat = 4, ntyp = 3
/
ATOMIC_SPECIES
Li 6.94 Li.upf
Y 88.91 Y.upf
Se 78.96 Se.upf
CELL_PARAMETERS angstrom
0.000 3.661 3.661
3.661 0.000 3.661
3.661 3.661 0.000
ATOMIC_POSITIONS crystal
Li 0.000 0.000 0.000
Y 0.250 0.250 0.250
Y 0.500 0.500 0.500
Se 0.750 0.750 0.750
```


[4]
# Na3AsO

A relaxed structure of Na3AsO (GGA-PBE, the Alexandria database). Values from VASP.

Output
- Energy above the most stable polymorph in this dataset: 0 kJ/mol of formula units
- Formation energy from raw total energies: -605 meV/atom
- V: 19.97 A^3/atom
- Fermi-level density of states: 0.490 states/eV per atom

```
&SYSTEM
  ibrav = 0, nat = 5, ntyp = 3
/
ATOMIC_SPECIES
Na 22.99 Na.upf
As 74.92 As.upf
O 16.00 O.upf
CELL_PARAMETERS angstrom
4.640 0.000 0.000
0.000 4.640 0.000
0.000 0.000 4.640
ATOMIC_POSITIONS crystal
Na 0.000 0.000 0.500
Na 0.000 0.500 0.000
Na 0.500 0.000 0.000
As 0.500 0.500 0.500
O 0.000 0.000 0.000
```


- The highest V belongs to which entry?
  KGa8Sn2